No. 1
First-principles (GGA-PBE) data for crystalline Li2CdSb at its relaxed geometry, as listed in Alexandria via LeMat-Bulk.

Cell: 3.377 3.377 6.995 Å, 90.00 90.00 90.00°
Fractional positions:
Cd 0.500 0.500 0.750
Li 0.000 0.000 0.994
Li 0.000 0.000 0.506
Sb 0.500 0.500 0.250

Calculated values
Symmetry   No. 123
Formation energy without anion corrections   -1.294 eV/f.u.

No. 2
First-principles (GGA-PBE) data for crystalline HfCu2Sn at its relaxed geometry, as listed in Alexandria via LeMat-Bulk.

Cell: 4.253 5.711 5.709 Å, 90.00 90.00 90.00°
Fractional positions:
Hf 0.000 0.395 0.000
Cu 0.500 0.170 0.775
Sn 0.000 0.236 0.500
Sn 0.500 0.764 0.000
Cu 0.000 0.830 0.725
Cu 0.500 0.170 0.225
Cu 0.000 0.830 0.275
Hf 0.500 0.605 0.500

Calculated values
Symmetry   No. 59
Formation enthalpy at 0 K   -0.147 eV/atom

No. 3
First-principles (GGA-PBE) data for crystalline Ho2TmSc9 at its relaxed geometry, as listed in Alexandria via LeMat-Bulk.

Cell: 3.275 10.480 10.480 Å, 120.00 90.00 90.00°
Fractional positions:
Ho 0.000 0.667 0.333
Sc 0.500 0.175 0.825
Sc 0.500 0.175 0.350
Tm 0.000 0.000 0.000
Sc 0.500 0.825 0.650
Sc 0.500 0.825 0.175
Ho 0.000 0.333 0.667
Sc 0.000 0.000 0.500
Sc 0.500 0.350 0.175
Sc 0.000 0.500 0.500
Sc 0.000 0.500 0.000
Sc 0.500 0.650 0.825

Calculated values
Symmetry   No. 191
Formation enthalpy at 0 K   0.077 eV/atom

No. 4
First-principles (GGA-PBE) data for crystalline CaLuN at its relaxed geometry, as listed in Alexandria via LeMat-Bulk.

Cell: 5.990 3.491 3.491 Å, 120.00 90.00 90.00°
Last column: magnetic moment on the atom in μB.
Fractional positions:
Ca 0.575 0.667 0.333  -0.02
N 0.301 0.333 0.667  0.00
Lu 0.125 0.000 0.000  0.06

Calculated values
Symmetry   No. 156
Formation energy without anion corrections   -2.929 eV/f.u.

No. 5
First-principles (GGA-PBE) data for crystalline Nd3TeRhBr at its relaxed geometry, as listed in Alexandria via LeMat-Bulk.

Cell: 4.033 7.425 12.052 Å, 101.95 90.00 90.00°
Fractional positions:
Nd 0.250 0.448 0.858
Nd 0.750 0.040 0.134
Br 0.750 0.883 0.364
Nd 0.250 0.960 0.866
Nd 0.250 0.711 0.502
Te 0.750 0.652 0.695
Rh 0.750 0.238 0.953
Rh 0.250 0.762 0.047
Br 0.250 0.117 0.636
Te 0.250 0.348 0.305
Nd 0.750 0.552 0.142
Nd 0.750 0.289 0.498

Calculated values
Symmetry   No. 11
Formation energy without anion corrections   -6.434 eV/f.u.

No. 6
First-principles (GGA-PBE) data for crystalline Ca2Ga12Ag at its relaxed geometry, as listed in Alexandria via LeMat-Bulk.

Cell: 6.256 6.256 15.599 Å, 90.00 90.00 90.00°
Fractional positions:
Ga 0.750 0.750 0.093
Ga 0.670 0.830 0.569
Ga 0.670 0.170 0.431
Ga 0.250 0.750 0.907
Ga 0.170 0.330 0.431
Ga 0.830 0.670 0.431
Ag 0.500 0.000 0.000
Ca 0.000 0.500 0.752
Ga 0.170 0.670 0.569
Ga 0.750 0.250 0.907
Ga 0.000 0.000 0.813
Ga 0.500 0.500 0.187
Ga 0.750 0.250 0.093
Ga 0.250 0.250 0.093
Ga 0.330 0.170 0.569
Ga 0.250 0.750 0.093
Ga 0.830 0.330 0.569
Ga 0.330 0.830 0.431
Ga 0.500 0.500 0.347
Ca 0.000 0.500 0.248
Ga 0.000 0.000 0.187
Ga 0.250 0.250 0.907
Ca 0.500 0.000 0.248
Ga 0.000 0.000 0.347
Ga 0.750 0.750 0.907
Ga 0.500 0.500 0.653
Ag 0.000 0.500 0.000
Ga 0.000 0.000 0.653
Ca 0.500 0.000 0.752
Ga 0.500 0.500 0.813

Calculated values
Symmetry   No. 125
Formation enthalpy at 0 K   -0.236 eV/atom

Number 1: total DFT energy (no corrections) -2.540 eV/atom. Number 2: total DFT energy (no corrections) -5.685 eV/atom. Number 3: total DFT energy (no corrections) -5.807 eV/atom. Number 4: total DFT energy (no corrections) -5.926 eV/atom. Number 5: total DFT energy (no corrections) -5.484 eV/atom. Number 6: total DFT energy (no corrections) -3.114 eV/atom.